Record 1
This record from the Alexandria database describes crystalline ErPa2C3 at its relaxed geometry. The functional is PBE.

Computed properties:
formation enthalpy at 0 K: -0.44 eV per atom
symmetry: No. 71
N(E_F): 3.297 states/eV per cell
total magnetization: 0.00 μB/f.u.

Unit cell a=6.214 b=6.214 c=6.214 alpha=146.11 beta=131.91 gamma=60.13
Fractional positions:
Er  0.000  0.000  0.000
Pa  0.334  0.334  0.000
Pa  0.666  0.666  0.000
C  0.178  0.678  0.500
C  0.500  0.000  0.500
C  0.822  0.322  0.500


Record 2
This record from the Alexandria database describes crystalline Er4PaC4 at its relaxed geometry. The functional is PBE.

Computed properties:
formation enthalpy at 0 K: -0.36 eV per atom
symmetry: No. 12
N(E_F): 4.289 states/eV per cell
total magnetization: 1.00 μB/f.u.

Unit cell a=6.211 b=6.211 c=8.806 alpha=118.29 beta=118.29 gamma=33.77
Fractional positions:
Er  0.112  0.112  0.390
Er  0.296  0.296  0.190
Er  0.704  0.704  0.810
Er  0.888  0.888  0.610
Pa  0.500  0.500  0.000
C  0.092  0.092  0.902
C  0.301  0.301  0.704
C  0.699  0.699  0.296
C  0.908  0.908  0.098


Record 3
This record from the Alexandria database describes crystalline ErPa3C4 at its relaxed geometry. The functional is PBE.

Computed properties:
formation enthalpy at 0 K: -0.43 eV per atom
symmetry: No. 221
N(E_F): 3.034 states/eV per cell
total magnetization: 0.00 μB/f.u.

Unit cell a=5.068 b=5.068 c=5.068 alpha=90.00 beta=90.00 gamma=90.00
Fractional positions:
Er  0.000  0.000  0.000
Pa  0.000  0.500  0.500
Pa  0.500  0.000  0.500
Pa  0.500  0.500  0.000
C  0.000  0.000  0.500
C  0.000  0.500  0.000
C  0.500  0.000  0.000
C  0.500  0.500  0.500


Record 4
This record from the Alexandria database describes crystalline Er2Pa3C4 at its relaxed geometry. The functional is PBE.

Computed properties:
formation enthalpy at 0 K: -0.38 eV per atom
symmetry: No. 12
N(E_F): 7.480 states/eV per cell
total magnetization: 0.00 μB/f.u.

Unit cell a=6.248 b=6.248 c=8.788 alpha=118.94 beta=118.94 gamma=33.25
Fractional positions:
Er  0.108  0.108  0.391
Er  0.892  0.892  0.609
Pa  0.301  0.301  0.201
Pa  0.500  0.500  0.000
Pa  0.699  0.699  0.799
C  0.109  0.109  0.913
C  0.294  0.294  0.707
C  0.706  0.706  0.293
C  0.891  0.891  0.087


Record 5
This record from the Alexandria database describes crystalline Er3Pa4C8 at its relaxed geometry. The functional is PBE.

Computed properties:
formation enthalpy at 0 K: -0.02 eV per atom
symmetry: No. 12
N(E_F): 9.041 states/eV per cell
total magnetization: 0.00 μB/f.u.

Unit cell a=7.116 b=7.116 c=7.084 alpha=119.37 beta=119.37 gamma=90.75
Fractional positions:
Er  0.000  0.000  0.000
Er  0.000  0.500  0.000
Er  0.500  0.000  0.000
Pa  0.000  0.000  0.500
Pa  0.000  0.500  0.500
Pa  0.500  0.000  0.500
Pa  0.500  0.500  0.000
C  0.230  0.230  0.946
C  0.231  0.769  0.500
C  0.241  0.241  0.513
C  0.256  0.744  0.000
C  0.744  0.256  0.000
C  0.759  0.759  0.487
C  0.769  0.231  0.500
C  0.770  0.770  0.054


Record 6
This record from the Alexandria database describes crystalline Er3Pa2C4 at its relaxed geometry. The functional is PBE.

Computed properties:
formation enthalpy at 0 K: -0.34 eV per atom
symmetry: No. 12
N(E_F): 5.534 states/eV per cell
total magnetization: 0.00 μB/f.u.

Unit cell a=6.195 b=6.195 c=8.666 alpha=118.15 beta=118.15 gamma=33.52
Fractional positions:
Er  0.000  0.000  0.000
Er  0.205  0.205  0.812
Er  0.795  0.795  0.188
Pa  0.402  0.402  0.610
Pa  0.598  0.598  0.390
C  0.199  0.199  0.322
C  0.407  0.407  0.116
C  0.593  0.593  0.884
C  0.801  0.801  0.678


Record 7
This record from the Alexandria database describes crystalline ErPa3C at its relaxed geometry. The functional is PBE.

Computed properties:
formation enthalpy at 0 K: -0.08 eV per atom
symmetry: No. 221
N(E_F): 5.423 states/eV per cell
total magnetization: 0.00 μB/f.u.

Unit cell a=4.871 b=4.871 c=4.871 alpha=90.00 beta=90.00 gamma=90.00
Fractional positions:
Er  0.000  0.000  0.000
Pa  0.000  0.500  0.500
Pa  0.500  0.000  0.500
Pa  0.500  0.500  0.000
C  0.500  0.500  0.500


Record 8
This record from the Alexandria database describes crystalline ErPa4C5 at its relaxed geometry. The functional is PBE.

Computed properties:
formation enthalpy at 0 K: -0.44 eV per atom
symmetry: No. 71
N(E_F): 6.930 states/eV per cell
total magnetization: 0.00 μB/f.u.

Unit cell a=9.509 b=9.509 c=9.509 alpha=158.15 beta=149.14 gamma=38.13
Fractional positions:
Er  0.000  0.000  0.000
Pa  0.199  0.199  0.000
Pa  0.402  0.402  0.000
Pa  0.598  0.598  0.000
Pa  0.801  0.801  0.000
C  0.105  0.605  0.500
C  0.302  0.802  0.500
C  0.500  0.000  0.500
C  0.698  0.198  0.500
C  0.895  0.395  0.500


Record 9
This record from the Alexandria database describes crystalline ErPaPbC at its relaxed geometry. The functional is PBE.

Computed properties:
formation enthalpy at 0 K: -0.29 eV per atom
symmetry: No. 160
N(E_F): 3.348 states/eV per cell
total magnetization: 0.00 μB/f.u.

Unit cell a=9.008 b=9.008 c=9.008 alpha=22.31 beta=22.31 gamma=22.31
Fractional positions:
Er  0.000  0.000  0.000
Pa  0.561  0.561  0.561
Pb  0.437  0.437  0.437
C  0.279  0.279  0.279


Record 10
This record from the Alexandria database describes crystalline ErPuPa2C4 at its relaxed geometry. The functional is PBE.

Computed properties:
formation enthalpy at 0 K: -0.29 eV per atom
symmetry: No. 10
N(E_F): 10.822 states/eV per cell
total magnetization: 4.78 μB/f.u.

Unit cell a=6.146 b=3.613 c=6.248 alpha=90.00 beta=109.97 gamma=90.00
Fractional positions:
Er  0.000  0.000  0.000
Pu  0.000  0.500  0.500
Pa  0.500  0.000  0.500
Pa  0.500  0.500  0.000
C  0.263  0.000  0.753
C  0.266  0.500  0.259
C  0.734  0.500  0.741
C  0.737  0.000  0.247


Record 11
This record from the Alexandria database describes crystalline ErPa2ReC4 at its relaxed geometry. The functional is PBE.

Computed properties:
formation enthalpy at 0 K: -0.14 eV per atom
symmetry: No. 63
N(E_F): 9.410 states/eV per cell
total magnetization: 0.00 μB/f.u.

Unit cell a=6.165 b=6.165 c=11.930 alpha=90.00 beta=90.00 gamma=146.27
Fractional positions:
Er  0.125  0.875  0.750
Er  0.875  0.125  0.250
Pa  0.367  0.633  0.542
Pa  0.367  0.633  0.958
Pa  0.633  0.367  0.042
Pa  0.633  0.367  0.458
Re  0.140  0.860  0.250
Re  0.860  0.140  0.750
C  0.000  0.000  0.000
C  0.000  0.000  0.500
C  0.262  0.738  0.130
C  0.262  0.738  0.370
C  0.438  0.562  0.750
C  0.562  0.438  0.250
C  0.738  0.262  0.630
C  0.738  0.262  0.870


Record 12
This record from the Alexandria database describes crystalline ErPa2RuC4 at its relaxed geometry. The functional is PBE.

Computed properties:
formation enthalpy at 0 K: -0.12 eV per atom
symmetry: No. 63
N(E_F): 9.585 states/eV per cell
total magnetization: 0.00 μB/f.u.

Unit cell a=6.138 b=6.138 c=11.787 alpha=90.00 beta=90.00 gamma=146.44
Fractional positions:
Er  0.118  0.882  0.750
Er  0.882  0.118  0.250
Pa  0.367  0.633  0.544
Pa  0.367  0.633  0.956
Pa  0.633  0.367  0.044
Pa  0.633  0.367  0.456
Ru  0.144  0.856  0.250
Ru  0.856  0.144  0.750
C  0.000  0.000  0.000
C  0.000  0.000  0.500
C  0.266  0.734  0.129
C  0.266  0.734  0.371
C  0.444  0.556  0.750
C  0.556  0.444  0.250
C  0.734  0.266  0.629
C  0.734  0.266  0.871